# EuHgGe2 PBE-GGA optimized geometry
# volume = 90.6 Å³/f.u.
# total magnetic moment = 6.9 μB/f.u.
# ΔE_f = -112 kJ/mol of formula units
data_EuHgGe2
_chemical_formula_sum 'Eu1 Hg1 Ge2'
_cell_length_a 4.577
_cell_length_b 4.577
_cell_length_c 4.324
_cell_angle_alpha 90.00
_cell_angle_beta 90.00
_cell_angle_gamma 90.00
_space_group_name_H-M_alt 'P 4/m m m'
_space_group_IT_number 123
_space_group_name_Hall '-P 4 2'
loop_
_atom_site_label
_atom_site_fract_x
_atom_site_fract_y
_atom_site_fract_z
_atom_site_occupancy
Eu1 0.000 0.000 0.000 1
Hg1 0.500 0.500 0.000 1
Ge1 0.000 0.500 0.500 1

=====

# EuHgGe PBE-GGA optimized geometry
# volume = 81.9 Å³/f.u.
# total magnetic moment = 7.0 μB/f.u.
# ΔE_f = -125 kJ/mol of formula units
data_EuHgGe
_chemical_formula_sum 'Eu4 Hg4 Ge4'
_cell_length_a 6.895
_cell_length_b 6.895
_cell_length_c 6.895
_cell_angle_alpha 90.00
_cell_angle_beta 90.00
_cell_angle_gamma 90.00
_space_group_name_H-M_alt 'F -4 3 m'
_space_group_IT_number 216
_space_group_name_Hall 'F -4 2 3'
loop_
_atom_site_label
_atom_site_fract_x
_atom_site_fract_y
_atom_site_fract_z
_atom_site_occupancy
Eu1 0.000 0.000 0.000 1
Hg1 0.000 0.000 0.500 1
Ge1 0.250 0.250 0.250 1

=====

# EuInHgGe PBE-GGA optimized geometry
# volume = 101.7 Å³/f.u.
# total magnetic moment = 6.9 μB/f.u.
# ΔE_f = -119 kJ/mol of formula units
data_EuInHgGe
_chemical_formula_sum 'Eu4 In4 Hg4 Ge4'
_cell_length_a 7.409
_cell_length_b 7.409
_cell_length_c 7.409
_cell_angle_alpha 90.00
_cell_angle_beta 90.00
_cell_angle_gamma 90.00
_space_group_name_H-M_alt 'F -4 3 m'
_space_group_IT_number 216
_space_group_name_Hall 'F -4 2 3'
loop_
_atom_site_label
_atom_site_fract_x
_atom_site_fract_y
_atom_site_fract_z
_atom_site_occupancy
Eu1 0.000 0.000 0.000 1
In1 0.000 0.000 0.500 1
Hg1 0.250 0.250 0.750 1
Ge1 0.250 0.250 0.250 1

=====

# LaEuHgGe PBE-GGA optimized geometry
# volume = 111.9 Å³/f.u.
# total magnetic moment = 7.6 μB/f.u.
# ΔE_f = -230 kJ/mol of formula units
data_LaEuHgGe
_chemical_formula_sum 'La4 Eu4 Hg4 Ge4'
_cell_length_a 7.649
_cell_length_b 7.649
_cell_length_c 7.649
_cell_angle_alpha 90.00
_cell_angle_beta 90.00
_cell_angle_gamma 90.00
_space_group_name_H-M_alt 'F -4 3 m'
_space_group_IT_number 216
_space_group_name_Hall 'F -4 2 3'
loop_
_atom_site_label
_atom_site_fract_x
_atom_site_fract_y
_atom_site_fract_z
_atom_site_occupancy
La1 0.000 0.000 0.000 1
Eu1 0.000 0.000 0.500 1
Hg1 0.250 0.250 0.250 1
Ge1 0.250 0.250 0.750 1

=====

# EuLuHgGe PBE-GGA optimized geometry
# volume = 100.2 Å³/f.u.
# total magnetic moment = 7.4 μB/f.u.
# ΔE_f = -197 kJ/mol of formula units
data_EuLuHgGe
_chemical_formula_sum 'Eu4 Lu4 Hg4 Ge4'
_cell_length_a 7.374
_cell_length_b 7.374
_cell_length_c 7.374
_cell_angle_alpha 90.00
_cell_angle_beta 90.00
_cell_angle_gamma 90.00
_space_group_name_H-M_alt 'F -4 3 m'
_space_group_IT_number 216
_space_group_name_Hall 'F -4 2 3'
loop_
_atom_site_label
_atom_site_fract_x
_atom_site_fract_y
_atom_site_fract_z
_atom_site_occupancy
Eu1 0.000 0.000 0.000 1
Lu1 0.000 0.000 0.500 1
Hg1 0.250 0.250 0.750 1
Ge1 0.250 0.250 0.250 1

=====

# NaEuHgGe PBE-GGA optimized geometry
# volume = 101.1 Å³/f.u.
# total magnetic moment = 6.8 μB/f.u.
# ΔE_f = -137 kJ/mol of formula units
data_NaEuHgGe
_chemical_formula_sum 'Na4 Eu4 Hg4 Ge4'
_cell_length_a 7.394
_cell_length_b 7.394
_cell_length_c 7.394
_cell_angle_alpha 90.00
_cell_angle_beta 90.00
_cell_angle_gamma 90.00
_space_group_name_H-M_alt 'F -4 3 m'
_space_group_IT_number 216
_space_group_name_Hall 'F -4 2 3'
loop_
_atom_site_label
_atom_site_fract_x
_atom_site_fract_y
_atom_site_fract_z
_atom_site_occupancy
Na1 0.000 0.000 0.000 1
Eu1 0.000 0.000 0.500 1
Hg1 0.250 0.250 0.250 1
Ge1 0.250 0.250 0.750 1

=====

# EuPaHgGe PBE-GGA optimized geometry
# volume = 102.1 Å³/f.u.
# total magnetic moment = 6.5 μB/f.u.
# ΔE_f = -59 kJ/mol of formula units
data_EuPaHgGe
_chemical_formula_sum 'Eu4 Pa4 Hg4 Ge4'
_cell_length_a 7.419
_cell_length_b 7.419
_cell_length_c 7.419
_cell_angle_alpha 90.00
_cell_angle_beta 90.00
_cell_angle_gamma 90.00
_space_group_name_H-M_alt 'F -4 3 m'
_space_group_IT_number 216
_space_group_name_Hall 'F -4 2 3'
loop_
_atom_site_label
_atom_site_fract_x
_atom_site_fract_y
_atom_site_fract_z
_atom_site_occupancy
Eu1 0.000 0.000 0.000 1
Pa1 0.000 0.000 0.500 1
Hg1 0.250 0.250 0.750 1
Ge1 0.250 0.250 0.250 1

=====

# EuHgGePb PBE-GGA optimized geometry
# volume = 109.2 Å³/f.u.
# total magnetic moment = 7.1 μB/f.u.
# ΔE_f = -113 kJ/mol of formula units
data_EuHgGePb
_chemical_formula_sum 'Eu4 Hg4 Ge4 Pb4'
_cell_length_a 7.588
_cell_length_b 7.588
_cell_length_c 7.588
_cell_angle_alpha 90.00
_cell_angle_beta 90.00
_cell_angle_gamma 90.00
_space_group_name_H-M_alt 'F -4 3 m'
_space_group_IT_number 216
_space_group_name_Hall 'F -4 2 3'
loop_
_atom_site_label
_atom_site_fract_x
_atom_site_fract_y
_atom_site_fract_z
_atom_site_occupancy
Eu1 0.000 0.000 0.000 1
Hg1 0.250 0.250 0.250 1
Ge1 0.250 0.250 0.750 1
Pb1 0.000 0.000 0.500 1

=====

# PmEuHgGe PBE-GGA optimized geometry
# volume = 107.0 Å³/f.u.
# total magnetic moment = 7.6 μB/f.u.
# ΔE_f = -217 kJ/mol of formula units
data_PmEuHgGe
_chemical_formula_sum 'Pm4 Eu4 Hg4 Ge4'
_cell_length_a 7.537
_cell_length_b 7.537
_cell_length_c 7.537
_cell_angle_alpha 90.00
_cell_angle_beta 90.00
_cell_angle_gamma 90.00
_space_group_name_H-M_alt 'F -4 3 m'
_space_group_IT_number 216
_space_group_name_Hall 'F -4 2 3'
loop_
_atom_site_label
_atom_site_fract_x
_atom_site_fract_y
_atom_site_fract_z
_atom_site_occupancy
Pm1 0.000 0.000 0.000 1
Eu1 0.000 0.000 0.500 1
Hg1 0.250 0.250 0.750 1
Ge1 0.250 0.250 0.250 1

=====

# EuPuHgGe PBE-GGA optimized geometry
# volume = 105.3 Å³/f.u.
# total magnetic moment = 13.0 μB/f.u.
# ΔE_f = -149 kJ/mol of formula units
data_EuPuHgGe
_chemical_formula_sum 'Eu4 Pu4 Hg4 Ge4'
_cell_length_a 7.497
_cell_length_b 7.497
_cell_length_c 7.497
_cell_angle_alpha 90.00
_cell_angle_beta 90.00
_cell_angle_gamma 90.00
_space_group_name_H-M_alt 'F -4 3 m'
_space_group_IT_number 216
_space_group_name_Hall 'F -4 2 3'
loop_
_atom_site_label
_atom_site_fract_x
_atom_site_fract_y
_atom_site_fract_z
_atom_site_occupancy
Eu1 0.000 0.000 0.000 1
Pu1 0.000 0.000 0.500 1
Hg1 0.250 0.250 0.250 1
Ge1 0.250 0.250 0.750 1

=====

# EuScHgGe PBE-GGA optimized geometry
# volume = 95.2 Å³/f.u.
# total magnetic moment = 7.6 μB/f.u.
# ΔE_f = -185 kJ/mol of formula units
data_EuScHgGe
_chemical_formula_sum 'Eu4 Sc4 Hg4 Ge4'
_cell_length_a 7.248
_cell_length_b 7.248
_cell_length_c 7.248
_cell_angle_alpha 90.00
_cell_angle_beta 90.00
_cell_angle_gamma 90.00
_space_group_name_H-M_alt 'F -4 3 m'
_space_group_IT_number 216
_space_group_name_Hall 'F -4 2 3'
loop_
_atom_site_label
_atom_site_fract_x
_atom_site_fract_y
_atom_site_fract_z
_atom_site_occupancy
Eu1 0.000 0.000 0.000 1
Sc1 0.000 0.000 0.500 1
Hg1 0.250 0.250 0.250 1
Ge1 0.250 0.250 0.750 1

=====

# SrEuHgGe PBE-GGA optimized geometry
# volume = 116.2 Å³/f.u.
# total magnetic moment = 7.0 μB/f.u.
# ΔE_f = -225 kJ/mol of formula units
data_SrEuHgGe
_chemical_formula_sum 'Sr4 Eu4 Hg4 Ge4'
_cell_length_a 7.747
_cell_length_b 7.747
_cell_length_c 7.747
_cell_angle_alpha 90.00
_cell_angle_beta 90.00
_cell_angle_gamma 90.00
_space_group_name_H-M_alt 'F -4 3 m'
_space_group_IT_number 216
_space_group_name_Hall 'F -4 2 3'
loop_
_atom_site_label
_atom_site_fract_x
_atom_site_fract_y
_atom_site_fract_z
_atom_site_occupancy
Sr1 0.000 0.000 0.000 1
Eu1 0.000 0.000 0.500 1
Hg1 0.250 0.250 0.750 1
Ge1 0.250 0.250 0.250 1